# CePr2Pt (PBE, optimized geometry)
# Formation energy, eV/atom: -0.173
# E above lowest polymorph, eV/atom: 0.243
data_CePr2Pt
_chemical_formula_sum 'Ce1 Pr2 Pt1'
_cell_length_a 11.025
_cell_length_b 11.025
_cell_length_c 11.025
_cell_angle_alpha 19.82
_cell_angle_beta 19.82
_cell_angle_gamma 19.82
_symmetry_space_group_name_H-M 'P 1'
_symmetry_Int_Tables_number 1
loop_
_symmetry_equiv_pos_as_xyz
'x,y,z'
loop_
_atom_site_label
_atom_site_fract_x
_atom_site_fract_y
_atom_site_fract_z
Ce1 0.000 0.000 0.000
Pr1 0.108 0.108 0.108
Pr2 0.892 0.892 0.892
Pt1 0.500 0.500 0.500

# La2MgTl (PBE, optimized geometry)
# Formation energy, eV/atom: 0.059
# E above lowest polymorph, eV/atom: 0.343
data_La2MgTl
_chemical_formula_sum 'La2 Mg1 Tl1'
_cell_length_a 7.499
_cell_length_b 7.499
_cell_length_c 7.499
_cell_angle_alpha 38.56
_cell_angle_beta 38.56
_cell_angle_gamma 38.56
_symmetry_space_group_name_H-M 'P 1'
_symmetry_Int_Tables_number 1
loop_
_symmetry_equiv_pos_as_xyz
'x,y,z'
loop_
_atom_site_label
_atom_site_fract_x
_atom_site_fract_y
_atom_site_fract_z
La1 0.000 0.000 0.000
La2 0.186 0.186 0.186
Mg1 0.427 0.427 0.427
Tl1 0.591 0.591 0.591

# YSe2 (PBE, optimized geometry)
# Formation energy without anion corrections, meV/atom: -1448
data_YSe2
_chemical_formula_sum 'Y2 Se4'
_cell_length_a 5.540
_cell_length_b 5.540
_cell_length_c 8.044
_cell_angle_alpha 102.11
_cell_angle_beta 102.11
_cell_angle_gamma 40.64
_symmetry_space_group_name_H-M 'P 1'
_symmetry_Int_Tables_number 1
loop_
_symmetry_equiv_pos_as_xyz
'x,y,z'
loop_
_atom_site_label
_atom_site_fract_x
_atom_site_fract_y
_atom_site_fract_z
Y1 0.063 0.063 0.318
Y2 0.937 0.937 0.682
Se1 0.353 0.353 0.384
Se2 0.385 0.385 0.922
Se3 0.615 0.615 0.078
Se4 0.647 0.647 0.616

# IrAuSe4 (PBE, optimized geometry)
# Formation energy without anion corrections, meV/atom: 1178
# E above lowest polymorph, eV/atom: 1.420
data_IrAuSe4
_chemical_formula_sum 'Ir1 Au1 Se4'
_cell_length_a 5.544
_cell_length_b 5.544
_cell_length_c 5.544
_cell_angle_alpha 60.00
_cell_angle_beta 60.00
_cell_angle_gamma 60.00
_symmetry_space_group_name_H-M 'P 1'
_symmetry_Int_Tables_number 1
loop_
_symmetry_equiv_pos_as_xyz
'x,y,z'
loop_
_atom_site_label
_atom_site_fract_x
_atom_site_fract_y
_atom_site_fract_z
Ir1 0.000 0.000 0.000
Au1 0.250 0.250 0.250
Se1 0.124 0.625 0.625
Se2 0.625 0.124 0.625
Se3 0.625 0.625 0.124
Se4 0.625 0.625 0.625

# LaIn2SbIr (PBE, optimized geometry)
# Formation energy without anion corrections, meV/atom: -459
data_LaIn2SbIr
_chemical_formula_sum 'La1 In2 Sb1 Ir1'
_cell_length_a 5.167
_cell_length_b 5.167
_cell_length_c 5.475
_cell_angle_alpha 90.00
_cell_angle_beta 90.00
_cell_angle_gamma 90.00
_symmetry_space_group_name_H-M 'P 1'
_symmetry_Int_Tables_number 1
loop_
_symmetry_equiv_pos_as_xyz
'x,y,z'
loop_
_atom_site_label
_atom_site_fract_x
_atom_site_fract_y
_atom_site_fract_z
La1 0.000 0.000 0.000
In1 0.000 0.500 0.500
In2 0.500 0.000 0.500
Sb1 0.500 0.500 0.000
Ir1 0.000 0.000 0.500

# TlCo2Si (PBE, optimized geometry)
# Formation energy without anion corrections, meV/atom: 33
# E above lowest polymorph, eV/atom: 0.000
data_TlCo2Si
_chemical_formula_sum 'Tl1 Co2 Si1'
_cell_length_a 2.869
_cell_length_b 2.817
_cell_length_c 7.114
_cell_angle_alpha 90.00
_cell_angle_beta 100.28
_cell_angle_gamma 90.00
_symmetry_space_group_name_H-M 'P 1'
_symmetry_Int_Tables_number 1
loop_
_symmetry_equiv_pos_as_xyz
'x,y,z'
loop_
_atom_site_label
_atom_site_fract_x
_atom_site_fract_y
_atom_site_fract_z
Tl1 0.000 0.000 0.000
Co1 0.413 0.500 0.317
Co2 0.587 0.500 0.683
Si1 0.000 0.000 0.500

# Tb14ErCd (PBE, optimized geometry)
# Formation energy, eV/atom: -0.004
data_Tb14ErCd
_chemical_formula_sum 'Tb14 Er1 Cd1'
_cell_length_a 10.012
_cell_length_b 7.045
_cell_length_c 7.045
_cell_angle_alpha 89.99
_cell_angle_beta 90.00
_cell_angle_gamma 90.00
_symmetry_space_group_name_H-M 'P 1'
_symmetry_Int_Tables_number 1
loop_
_symmetry_equiv_pos_as_xyz
'x,y,z'
loop_
_atom_site_label
_atom_site_fract_x
_atom_site_fract_y
_atom_site_fract_z
Tb1 0.000 0.000 0.000
Tb2 0.000 0.000 0.500
Tb3 0.000 0.500 0.000
Tb4 0.000 0.500 0.500
Tb5 0.252 0.250 0.250
Tb6 0.253 0.250 0.750
Tb7 0.253 0.750 0.250
Tb8 0.253 0.750 0.750
Tb9 0.500 0.001 0.499
Tb10 0.500 0.499 0.001
Tb11 0.747 0.250 0.750
Tb12 0.747 0.750 0.250
Tb13 0.747 0.750 0.750
Tb14 0.748 0.250 0.250
Er1 0.500 0.000 0.000
Cd1 0.500 0.500 0.500

# LiTlIr (PBE, optimized geometry)
# Formation energy, eV/atom: 0.109
# E above lowest polymorph, eV/atom: 0.000
data_LiTlIr
_chemical_formula_sum 'Li1 Tl1 Ir1'
_cell_length_a 5.103
_cell_length_b 5.103
_cell_length_c 5.103
_cell_angle_alpha 142.34
_cell_angle_beta 142.34
_cell_angle_gamma 54.31
_symmetry_space_group_name_H-M 'P 1'
_symmetry_Int_Tables_number 1
loop_
_symmetry_equiv_pos_as_xyz
'x,y,z'
loop_
_atom_site_label
_atom_site_fract_x
_atom_site_fract_y
_atom_site_fract_z
Li1 0.000 0.000 0.000
Tl1 0.319 0.319 0.000
Ir1 0.636 0.636 0.000

Total energy for every record listed, in sequence, given in eV per atom: -5.5560, -3.3952, -5.9255, -3.1681, -5.1364, -5.4676, -4.3977, -4.2710.